! TaAlCr2Hg (GGA-PBE, optimized geometry); values from VASP
&SYSTEM
  ibrav = 0, nat = 5, ntyp = 4
/
ATOMIC_SPECIES
Ta 180.95 Ta.upf
Al 26.98 Al.upf
Hg 200.59 Hg.upf
Cr 52.00 Cr.upf
ATOMIC_POSITIONS angstrom
Ta 2.2590 2.3189 2.2590
Al 0.0000 0.0000 0.0000
Hg 0.0000 2.3189 0.0000
Cr 2.2590 0.0000 0.0000
Cr 0.0000 0.0000 2.2590
CELL_PARAMETERS angstrom
4.5180 0.0000 0.0000
0.0000 4.6378 0.0000
0.0000 0.0000 4.5180
! Calculated density (Mg/m³): 9.0
! Calculated formation energy (eV/f.u.): 6.99
! Magnetization (Bohr magnetons per cell): 3.8
! Space group: P4/mmm, No. 123